(1)
ThAsS: relaxed, PBE-GGA.

Output
N(E_F) = 0.883 states/eV per atom
DFT total energy = -6.45 eV per atom
Formation energy (no corrections) = -1.05 eV per atom

```
data_ThAsS
_chemical_formula_sum 'Th1 As1 S1'
_symmetry_space_group_name_H-M 'P -6 m 2'
_symmetry_Int_Tables_number 187
_symmetry_space_group_name_Hall 'P -6 2'
_cell_length_a 4.6398
_cell_length_b 4.6398
_cell_length_c 4.0047
_cell_angle_alpha 90.00
_cell_angle_beta 90.00
_cell_angle_gamma 120.00
loop_
_atom_site_label
_atom_site_type_symbol
_atom_site_fract_x
_atom_site_fract_y
_atom_site_fract_z
Th1 Th 0.0000 0.0000 0.0000
As1 As 0.6667 0.3333 0.5000
S1 S 0.3333 0.6667 0.0000
```

---

(2)
ThAsS: relaxed, PBE-GGA.

Output
N(E_F) = 0.276 states/eV per atom
DFT total energy = -6.95 eV per atom
Formation energy (no corrections) = -1.55 eV per atom

```
data_ThAsS
_chemical_formula_sum 'Th4 As4 S4'
_symmetry_space_group_name_H-M 'I 4/m m m'
_symmetry_Int_Tables_number 139
_symmetry_space_group_name_Hall '-I 4 2'
_cell_length_a 4.0440
_cell_length_b 4.0440
_cell_length_c 16.5202
_cell_angle_alpha 90.00
_cell_angle_beta 90.00
_cell_angle_gamma 90.00
loop_
_atom_site_label
_atom_site_type_symbol
_atom_site_fract_x
_atom_site_fract_y
_atom_site_fract_z
Th1 Th 0.0000 0.0000 0.1383
As1 As 0.0000 0.5000 0.0000
S1 S 0.0000 0.0000 0.3147
```

---

(3)
ThAsS: relaxed, PBE-GGA.

Output
DFT total energy = -6.66 eV per atom
Formation energy (no corrections) = -1.26 eV per atom

```
data_ThAsS
_chemical_formula_sum 'Th4 As4 S4'
_symmetry_space_group_name_H-M 'P -1'
_symmetry_Int_Tables_number 2
_cell_length_a 5.7553
_cell_length_b 7.8206
_cell_length_c 7.9321
_cell_angle_alpha 76.36
_cell_angle_beta 78.41
_cell_angle_gamma 78.66
loop_
_symmetry_equiv_pos_as_xyz
'x,y,z'
'-x,-y,-z'
loop_
_atom_site_label
_atom_site_type_symbol
_atom_site_fract_x
_atom_site_fract_y
_atom_site_fract_z
Th1 Th 0.1854 0.2175 0.0238
Th2 Th 0.1952 0.7485 0.4374
As1 As 0.2559 0.3511 0.6185
As2 As 0.2759 0.8308 0.0521
S1 S 0.2338 0.5630 0.8003
S2 S 0.2399 0.1086 0.3798
```

---

Question: Look up the DFT total energy of the third one.
Answer: -6.66 eV per atom

---

Question: Among the records above, which one has the lowest DFT total energy?
Answer: number 2